! BePdI2O (PBE, relaxed); values from VASP
&SYSTEM
  ibrav = 0, nat = 5, ntyp = 4
/
ATOMIC_SPECIES
Be 9.01 Be.upf
Pd 106.42 Pd.upf
I 126.90 I.upf
O 16.00 O.upf
ATOMIC_POSITIONS crystal
Be 0.000 0.000 0.000
Pd 0.500 0.500 0.500
I 0.000 0.500 0.000
I 0.500 0.000 0.000
O 0.000 0.000 0.500
CELL_PARAMETERS angstrom
5.946 0.000 0.000
0.000 5.946 0.000
0.000 0.000 2.946
! * size of the total moment: 0.00 μB/cell
! * DOS(E_F): 3.67 states/eV per cell
! * ΔE_f (raw): -2.38 eV/f.u.


! NaSn2Mo (PBE, relaxed); values from VASP
&SYSTEM
  ibrav = 0, nat = 4, ntyp = 3
/
ATOMIC_SPECIES
Na 22.99 Na.upf
Sn 118.71 Sn.upf
Mo 95.94 Mo.upf
ATOMIC_POSITIONS crystal
Na 0.000 0.000 0.000
Sn 0.098 0.098 0.098
Sn 0.902 0.902 0.902
Mo 0.500 0.500 0.500
CELL_PARAMETERS angstrom
1.643 0.948 10.289
-1.643 0.948 10.289
0.000 -1.897 10.289
! * size of the total moment: 0.00 μB/cell
! * formation energy from the elements: 0.23 eV/atom
! * DOS(E_F): 3.53 states/eV per cell


! Nd3TlNi (PBE, relaxed); values from VASP
&SYSTEM
  ibrav = 0, nat = 10, ntyp = 3
/
ATOMIC_SPECIES
Nd 144.24 Nd.upf
Tl 204.38 Tl.upf
Ni 58.69 Ni.upf
ATOMIC_POSITIONS crystal
Nd 0.125 0.125 0.438
Nd 0.360 0.360 0.829
Nd 0.372 0.372 0.228
Nd 0.628 0.628 0.772
Nd 0.640 0.640 0.171
Nd 0.875 0.875 0.562
Tl 0.085 0.085 0.926
Tl 0.915 0.915 0.074
Ni 0.395 0.395 0.520
Ni 0.605 0.605 0.480
CELL_PARAMETERS angstrom
6.046 -2.632 0.000
6.046 2.632 0.000
-4.652 0.000 9.000
! * size of the total moment: 0.00 μB/cell
! * formation energy from the elements: -0.24 eV/atom
! * DOS(E_F): 8.83 states/eV per cell


Question: Which of these has the highest DOS(E_F)?
Answer: Nd3TlNi